The following is a DFT calculation (PBE) of crystalline NiHI2 at its relaxed geometry.

SG: I-42d
DOS(E_F): 4.3 states/eV/cell
E_tot: -21.851 eV per cell
Magnetic moment: 1.94 μB per cell
ρ: 5.6 g cm⁻³

a b c (Å): 5.706 5.706 6.976
angles (deg): 65.86 65.86 90.00
Last column: magnetic moment on the atom in μB.
Fractional coordinates of all 8 atoms:
H 0.500 0.500 0.000  -0.04
I 0.141 0.625 0.250  0.10
Ni 0.750 0.250 0.500  0.77
Ni 0.000 0.000 0.000  0.76
I 0.609 0.125 0.250  0.09
H 0.250 0.750 0.500  -0.04
I 0.375 0.391 0.750  0.09
I 0.875 0.859 0.750  0.10


The following is a DFT calculation (PBE) of crystalline NiHI3 at its relaxed geometry.

SG: Pm-3m
DOS(E_F): 4.5 states/eV/cell
Magnetic moment: 1.03 μB per cell
ρ: 4.8 g cm⁻³
Polymorph energy (0 for the lowest one): 54.4 kJ per mole of atoms

a b c (Å): 5.324 5.324 5.324
angles (deg): 90.00 90.00 90.00
Last column: magnetic moment on the atom in μB.
Fractional coordinates of all 5 atoms:
I 0.000 0.500 0.000  0.02
Ni 0.000 0.000 0.000  0.01
I 0.000 0.000 0.500  0.02
H 0.500 0.500 0.500  0.37
I 0.500 0.000 0.000  0.02


The following is a DFT calculation (PBE) of crystalline NiHI4 at its relaxed geometry.

SG: Cmc2_1
DOS(E_F): 7.8 states/eV/cell
E_tot: -29.971 eV per cell
Magnetic moment: 0.00 μB per cell
ρ: 4.2 g cm⁻³

a b c (Å): 4.160 10.553 10.529
angles (deg): 90.00 101.39 90.00
Fractional coordinates of all 12 atoms:
I 0.481 0.854 0.962
I 0.368 0.505 0.736
I 0.070 0.626 0.139
H 0.712 0.008 0.424
H 0.288 0.508 0.576
I 0.519 0.354 0.038
Ni 0.596 0.760 0.192
I 0.711 0.681 0.422
I 0.930 0.126 0.861
I 0.289 0.181 0.578
Ni 0.404 0.260 0.808
I 0.632 0.005 0.264


The following is a DFT calculation (PBE) of crystalline NiHI at its relaxed geometry.

SG: P-1
DOS(E_F): 2.9 states/eV/cell
Magnetic moment: 0.00 μB per cell
ρ: 5.2 g cm⁻³
Polymorph energy (0 for the lowest one): 2.5 kJ per mole of atoms

a b c (Å): 3.325 5.179 7.330
angles (deg): 104.07 103.30 89.97
Fractional coordinates of all 6 atoms:
H 0.303 0.623 0.597
I 0.124 0.850 0.253
Ni 0.256 0.316 0.510
Ni 0.744 0.684 0.490
H 0.697 0.377 0.403
I 0.876 0.150 0.747


The following is a DFT calculation (PBE) of crystalline NiHI3 at its relaxed geometry.

SG: Pm-3m
DOS(E_F): 11.7 states/eV/cell
Magnetic moment: 1.61 μB per cell
ρ: 5.7 g cm⁻³
Polymorph energy (0 for the lowest one): 108.4 kJ per mole of atoms

a b c (Å): 5.038 5.038 5.038
angles (deg): 90.00 90.00 90.00
Last column: magnetic moment on the atom in μB.
Fractional coordinates of all 5 atoms:
H 0.000 0.000 0.000  -0.01
I 0.000 0.000 0.500  0.13
I 0.000 0.500 0.000  0.20
Ni 0.500 0.500 0.500  0.99
I 0.500 0.000 0.000  0.13


The following is a DFT calculation (PBE) of crystalline NiHI2 at its relaxed geometry.

SG: Fm-3m
DOS(E_F): 9.7 states/eV/cell
E_tot: -8.484 eV per cell
Magnetic moment: 2.79 μB per cell
ρ: 6.1 g cm⁻³

a b c (Å): 4.943 4.943 4.943
angles (deg): 60.00 60.00 60.00
Last column: magnetic moment on the atom in μB.
Fractional coordinates of all 4 atoms:
H 0.000 0.000 0.000  0.30
I 0.250 0.250 0.250  0.35
I 0.750 0.750 0.750  0.35
Ni 0.500 0.500 0.500  1.12